AlCdPO2: relaxed, GGA-PBE.

Summary:
* symmetry: No. 123

The structure in extended XYZ format:
```
5
Lattice="4.0440 0.0000 0.0000 0.0000 4.0440 0.0000 0.0000 0.0000 5.2405" Properties=species:S:1:pos:R:3 pbc="T T T"
Al 0.0000 0.0000 0.0000
Cd 2.0220 2.0220 2.6203
P 2.0220 2.0220 0.0000
O 0.0000 2.0220 2.6203
O 2.0220 0.0000 2.6203
```

=====

AlCdPO2: relaxed, GGA-PBE.

Summary:
* symmetry: No. 123

The structure in extended XYZ format:
```
5
Lattice="3.6596 0.0000 0.0000 0.0000 3.6596 0.0000 0.0000 0.0000 5.4268" Properties=species:S:1:pos:R:3 pbc="T T T"
Al 0.0000 0.0000 0.0000
Cd 1.8298 1.8298 2.7134
P 0.0000 0.0000 2.7134
O 0.0000 1.8298 0.0000
O 1.8298 0.0000 0.0000
```

=====

PaAlCd2O6: relaxed, GGA-PBE.

Summary:
* symmetry: No. 146

The structure in extended XYZ format:
```
10
Lattice="2.7718 1.6003 4.7812 -2.7718 1.6003 4.7812 0.0000 -3.2006 4.7812" Properties=species:S:1:pos:R:3 pbc="T T T"
Pa 0.0000 0.0000 0.0000
Al 0.0000 0.0000 7.1480
Cd 0.0000 0.0000 3.8008
Cd 0.0000 0.0000 11.0697
O -1.5487 0.2410 5.9639
O -1.0482 -1.2487 8.2150
O 0.5656 -1.4617 5.9639
O -0.5573 1.5321 8.2150
O 0.9831 1.2207 5.9639
O 1.6054 -0.2834 8.2150
```

=====

no.,total magnetic moment (μB per atom),calculated total energy (eV/cell)
1,0.00,-18.03
2,0.00,-24.33
3,0.00,-68.49